# Ho5In2Rh2Au

A relaxed Ho5In2Rh2Au crystal (GGA-PBE, Alexandria via LeMat-Bulk).

```
Ho5In2Rh2Au
1.0
11.603 0.000 0.000
0.000 11.603 0.000
0.000 0.000 3.621
Ho In Rh Au
10 4 4 2
direct
0.000 0.500 0.000
0.076 0.200 0.000
0.200 0.924 0.000
0.300 0.424 0.000
0.424 0.700 0.000
0.500 0.000 0.000
0.576 0.300 0.000
0.700 0.576 0.000
0.800 0.076 0.000
0.924 0.800 0.000
0.173 0.673 0.500
0.327 0.173 0.500
0.673 0.827 0.500
0.827 0.327 0.500
0.135 0.365 0.500
0.365 0.865 0.500
0.635 0.135 0.500
0.865 0.635 0.500
0.000 0.000 0.500
0.500 0.500 0.500
```

=====

# BeSbAsO6

A relaxed BeSbAsO6 crystal (GGA-PBE, Alexandria via LeMat-Bulk).

```
BeSbAsO6
1.0
4.744 0.000 0.000
-2.372 4.108 0.000
0.000 0.000 8.687
Be Sb As O
2 2 2 12
direct
0.333 0.667 0.250
0.667 0.333 0.750
0.000 0.000 0.000
0.000 0.000 0.500
0.333 0.667 0.750
0.667 0.333 0.250
0.003 0.354 0.133
0.003 0.649 0.367
0.351 0.354 0.367
0.351 0.997 0.133
0.354 0.003 0.633
0.354 0.351 0.867
0.646 0.649 0.133
0.646 0.997 0.367
0.649 0.003 0.867
0.649 0.646 0.633
0.997 0.351 0.633
0.997 0.646 0.867
```

ΔE_f (raw)	-1458	meV/atom

=====

# LaSm3B4O12

A relaxed LaSm3B4O12 crystal (GGA-PBE, Alexandria via LeMat-Bulk).

```
LaSm3B4O12
1.0
5.165 2.982 2.947
-5.165 2.982 2.947
0.000 -5.965 2.947
La Sm B O
1 3 4 12
direct
0.000 0.000 0.000
0.000 0.531 0.469
0.469 0.000 0.531
0.531 0.469 0.000
0.032 0.500 0.968
0.500 0.500 0.500
0.500 0.968 0.032
0.968 0.032 0.500
0.026 0.634 0.833
0.102 0.898 0.500
0.167 0.366 0.974
0.366 0.634 0.500
0.366 0.974 0.167
0.500 0.102 0.898
0.500 0.366 0.634
0.634 0.500 0.366
0.634 0.833 0.026
0.833 0.026 0.634
0.898 0.500 0.102
0.974 0.167 0.366
```

ΔE_f (raw)	-3040	meV/atom

=====

E (computed, eV per atom): -5.330; -6.153; -8.305